The following is a PBE-GGA calculation of crystalline Li2NdMnN4 at its relaxed geometry, from Alexandria via LeMat-Bulk.

Cell lengths 4.980, 4.980, 4.980 Å; angles 114.43, 114.43, 99.96 degrees
Atoms (fractional coordinates):
Li1 0.250 0.750 0.500
Li2 0.750 0.250 0.500
Nd1 0.000 0.000 0.000
Mn1 0.500 0.500 0.000
N1 0.162 0.527 0.000
N2 0.473 0.473 0.635
N3 0.527 0.162 0.000
N4 0.838 0.838 0.365

Summary:
Calculated density, g/cm³: 4.80
Formation energy from raw total energies, eV/atom: -0.59

The following is a PBE-GGA calculation of crystalline Th2Si4Rh3Au at its relaxed geometry, from Alexandria via LeMat-Bulk.

Cell lengths 4.226, 4.226, 10.011 Å; angles 90.00, 90.00, 90.00 degrees
Atoms (fractional coordinates):
Th1 0.000 0.500 0.242
Th2 0.500 0.000 0.758
Si1 0.000 0.000 0.000
Si2 0.000 0.500 0.641
Si3 0.500 0.000 0.359
Si4 0.500 0.500 0.000
Rh1 0.000 0.500 0.880
Rh2 0.500 0.000 0.120
Rh3 0.500 0.500 0.500
Au1 0.000 0.000 0.500

Summary:
Calculated density, g/cm³: 10.05
Formation energy from raw total energies, eV/atom: -0.95

The following is a PBE-GGA calculation of crystalline RuAuN2F at its relaxed geometry, from Alexandria via LeMat-Bulk.

Cell lengths 4.012, 4.012, 4.392 Å; angles 90.00, 90.00, 90.00 degrees
Atoms (fractional coordinates):
Ru1 0.000 0.000 0.000
Au1 0.500 0.500 0.500
N1 0.000 0.500 0.500
N2 0.500 0.000 0.500
F1 0.500 0.500 0.000

Summary:
Calculated density, g/cm³: 8.11
Formation energy from raw total energies, eV/atom: 1.84
Energy relative to the lowest polymorph listed for this composition, meV per atom: 1159